No. 1
Here is crystalline AlTe2Pb2 at its relaxed geometry from Alexandria via LeMat-Bulk. Energies are from PBE-GGA.

Properties
formation energy (no corrections) = -0.002 eV/atom
magnetization = 0.000 μB per cell

CIF file:
```
data_AlTe2Pb2
_chemical_formula_sum 'Al2 Te4 Pb4'
_space_group_name_H-M_alt 'P 4/m b m'
_space_group_IT_number 127
_space_group_name_Hall '-P 4 2ab'
_cell_length_a 8.5472
_cell_length_b 8.5472
_cell_length_c 4.3478
_cell_angle_alpha 90.00
_cell_angle_beta 90.00
_cell_angle_gamma 90.00
loop_
_atom_site_label
_atom_site_type_symbol
_atom_site_fract_x
_atom_site_fract_y
_atom_site_fract_z
Al1 Al 0.0000 0.0000 0.0000
Te1 Te 0.1594 0.3406 0.0000
Pb1 Pb 0.1489 0.6489 0.5000
```

No. 2
Here is crystalline Al2TePb at its relaxed geometry from Alexandria via LeMat-Bulk. Energies are from PBE-GGA.

Properties
polymorph energy (0 for the lowest one) = 189 meV per atom
formation energy (no corrections) = 0.215 eV/atom
magnetization = 0.000 μB per cell

CIF file:
```
data_Al2TePb
_chemical_formula_sum 'Al4 Te2 Pb2'
_space_group_name_H-M_alt 'I -4 m 2'
_space_group_IT_number 119
_space_group_name_Hall 'I -4 -2'
_cell_length_a 4.3844
_cell_length_b 4.3844
_cell_length_c 10.5528
_cell_angle_alpha 90.00
_cell_angle_beta 90.00
_cell_angle_gamma 90.00
loop_
_atom_site_label
_atom_site_type_symbol
_atom_site_fract_x
_atom_site_fract_y
_atom_site_fract_z
Al1 Al 0.0000 0.0000 0.0000
Al2 Al 0.0000 0.5000 0.2500
Te1 Te 0.0000 0.0000 0.5000
Pb1 Pb 0.0000 0.5000 0.7500
```

No. 3
Here is crystalline AlTePb at its relaxed geometry from Alexandria via LeMat-Bulk. Energies are from PBE-GGA.

Properties
polymorph energy (0 for the lowest one) = 29 meV per atom
formation energy (no corrections) = -0.020 eV/atom
magnetization = 0.000 μB per cell

CIF file:
```
data_AlTePb
_chemical_formula_sum 'Al2 Te2 Pb2'
_space_group_name_H-M_alt 'I 4 m m'
_space_group_IT_number 107
_space_group_name_Hall 'I 4 -2'
_cell_length_a 3.7702
_cell_length_b 3.7702
_cell_length_c 11.6816
_cell_angle_alpha 90.00
_cell_angle_beta 90.00
_cell_angle_gamma 90.00
loop_
_atom_site_label
_atom_site_type_symbol
_atom_site_fract_x
_atom_site_fract_y
_atom_site_fract_z
Al1 Al 0.0000 0.0000 0.0000
Te1 Te 0.0000 0.0000 0.6053
Pb1 Pb 0.0000 0.0000 0.3361
```

Number 1: V 158.81 Å³/f.u.. Number 2: V 101.43 Å³/f.u.. Number 3: V 83.02 Å³/f.u..